16
Lattice="6.0121 -6.5068 0.0000 6.0121 6.5068 0.0000 -5.3488 0.0000 6.7124" Properties=species:S:1:pos:R:3 comment="Rb2HgTeSe4 (GGA-PBE, optimized geometry)" raw_formation_energy_ev_per_atom=-0.464 pbc="T T T"
Rb 0.0000 0.0000 0.0000
Rb -2.6744 0.0000 3.3562
Rb 3.0061 3.2534 0.0000
Rb 0.3316 -3.2534 3.3562
Hg 0.3316 3.2534 3.3562
Hg 3.0061 -3.2534 0.0000
Te 6.0121 0.0000 0.0000
Te 3.3377 0.0000 3.3562
Se 2.9086 2.9232 3.3238
Se 0.5474 0.0301 3.8323
Se 3.2218 -0.0301 0.4761
Se 6.4412 2.9232 0.0323
Se 0.2342 -2.9232 6.6800
Se 3.4536 0.0301 6.2362
Se 6.1281 -0.0301 2.8801
Se 3.7668 -2.9232 3.3885

4
Lattice="0.0000 3.1894 3.1894 3.1894 0.0000 3.1894 3.1894 3.1894 0.0000" Properties=species:S:1:pos:R:3 comment="Li2SnPd (GGA-PBE, optimized geometry)" formation_energy_ev_per_atom=-0.58 pbc="T T T"
Li 0.0000 0.0000 0.0000
Li 1.5947 1.5947 1.5947
Sn 4.7841 4.7841 4.7841
Pd 3.1894 3.1894 3.1894

12
Lattice="3.8879 0.0000 0.0000 -1.9439 3.3670 0.0000 0.0000 0.0000 21.7139" Properties=species:S:1:pos:R:3 comment="Pm3S2Cl (GGA-PBE, optimized geometry)" raw_formation_energy_ev_per_atom=-1.790 pbc="T T T"
Pm 0.0000 0.0000 0.0000
Pm 0.0000 0.0000 10.8569
Pm 0.0000 2.2447 3.3465
Pm 0.0000 2.2447 7.5105
Pm 1.9439 1.1223 14.2034
Pm 1.9439 1.1223 18.3674
S 0.0000 2.2447 12.5652
S 0.0000 2.2447 20.0056
S 1.9439 1.1223 1.7083
S 1.9439 1.1223 9.1487
Cl 0.0000 0.0000 5.4285
Cl 0.0000 0.0000 16.2854

4
Lattice="2.9265 0.0000 0.0000 0.0000 3.8710 0.0000 0.0000 0.0000 6.0164" Properties=species:S:1:pos:R:3 comment="TeMoOs2 (GGA-PBE, optimized geometry)" raw_formation_energy_ev_per_atom=0.638 pbc="T T T"
Te 0.0000 0.0000 0.0000
Mo 1.4633 1.9355 1.6565
Os 0.0000 0.0000 3.1514
Os 1.4633 1.9355 4.2236

5
Lattice="4.0682 0.0000 0.0000 0.0000 4.0682 0.0000 0.0000 0.0000 5.6141" Properties=species:S:1:pos:R:3 comment="MgAgSeN2 (GGA-PBE, optimized geometry)" relative_energy_ev_per_atom=0.089 raw_formation_energy_ev_per_atom=1.315 pbc="T T T"
Mg 0.0000 0.0000 0.0000
Ag 2.0341 2.0341 2.8070
Se 2.0341 2.0341 0.0000
N 0.0000 2.0341 2.8070
N 2.0341 0.0000 2.8070

3
Lattice="0.0000 3.7425 3.7425 3.7425 0.0000 3.7425 3.7425 3.7425 0.0000" Properties=species:S:1:pos:R:3 comment="KTcHg (GGA-PBE, optimized geometry)" formation_energy_ev_per_atom=1.67 relative_energy_ev_per_atom=0.841 pbc="T T T"
K 0.0000 0.0000 0.0000
Tc 1.8712 1.8712 1.8712
Hg 5.6137 5.6137 5.6137